AuI3N (GGA-PBE, optimized geometry); offset from the most stable computed form = 0.414 eV/atom; calculated total energy = -2.1179 eV per atom; ΔE_f (raw) = 1.13 eV/atom; magnetic moment = 0.00 μB per formula unit
1.0
-1.9263 -4.2751 1.8346
2.2058 -2.5876 -3.7137
4.0959 -0.6170 2.8628
Au I N
1 3 1
Cartesian
2.1877 -3.7399 0.4919 Au
1.1029 -1.2938 -1.8568 I
2.0480 -0.3085 1.4314 I
-0.9632 -2.1375 0.9173 I
0.0000 0.0000 0.0000 N

Ba3CdBi3 (GGA-PBE, optimized geometry); offset from the most stable computed form = 0.000 eV/atom; calculated total energy = -3.3563 eV per atom; magnetic moment = 0.00 μB per formula unit; E_form = -0.738 eV per atom
1.0
7.4294 0.0000 0.0000
-3.7147 11.0183 0.0000
0.0000 0.0000 14.7048
Ba Cd Bi
12 4 12
Cartesian
5.8734 3.8023 9.2496 Ba
5.2438 0.0000 12.6075 Ba
2.1855 0.0000 2.0973 Ba
2.1588 7.2161 9.2496 Ba
-2.1588 7.2161 5.4552 Ba
1.5559 7.2161 1.8972 Ba
5.2706 3.8023 1.8972 Ba
-1.5559 7.2161 12.8076 Ba
1.5292 0.0000 9.4497 Ba
2.1588 3.8023 12.8076 Ba
5.9002 0.0000 5.2551 Ba
1.5559 3.8023 5.4552 Ba
0.0000 1.8659 0.0000 Cd
0.0000 9.1525 7.3524 Cd
3.7147 1.8659 7.3524 Cd
3.7147 9.1525 0.0000 Cd
1.6848 0.0000 13.0592 Bi
2.0880 7.4202 12.8983 Bi
1.6267 3.5981 1.8065 Bi
2.0880 3.5981 9.1588 Bi
1.6267 7.4202 5.5459 Bi
5.8026 3.5981 12.8983 Bi
2.0299 0.0000 5.7068 Bi
5.3994 0.0000 8.9980 Bi
-2.0880 7.4202 1.8065 Bi
5.7446 0.0000 1.6456 Bi
5.3414 3.5981 5.5459 Bi
-1.6267 7.4202 9.1588 Bi

Cd2BiPb2 (GGA-PBE, optimized geometry); offset from the most stable computed form = 0.125 eV/atom; calculated total energy = -2.4404 eV per atom; magnetic moment = 0.00 μB per formula unit; E_form = 0.185 eV per atom
1.0
4.6343 0.0000 0.0000
0.0000 4.6343 0.0000
2.3171 2.3171 7.0333
Pb Bi Cd
2 1 2
Cartesian
2.3171 4.6343 3.5166 Pb
4.6343 2.3171 3.5166 Pb
0.0000 0.0000 0.0000 Bi
2.3171 2.3171 1.3582 Cd
4.6343 4.6343 5.6751 Cd

Th4Fe2Ag5 (GGA-PBE, optimized geometry); calculated total energy = -5.6118 eV per atom; magnetic moment = 0.00 μB per formula unit; E_form = -0.079 eV per atom
1.0
3.7139 0.0000 0.0000
0.0000 7.4651 -0.7510
0.0000 0.0554 9.0860
Fe Ag Th
2 5 4
Cartesian
0.0000 7.0088 2.5083 Fe
0.0000 0.5118 5.8267 Fe
0.0000 1.3275 1.1060 Ag
0.0000 3.4694 5.7513 Ag
0.0000 4.0512 2.5837 Ag
0.0000 6.1931 7.2290 Ag
0.0000 3.7326 -0.3755 Ag
1.8570 5.8793 4.5536 Th
1.8570 1.6413 3.7814 Th
1.8570 1.4288 7.4772 Th
1.8570 6.0918 0.8578 Th

LaFe3Ir (GGA-PBE, optimized geometry); offset from the most stable computed form = 1.324 eV/atom; calculated total energy = -5.9745 eV per atom; magnetic moment = 6.16 μB per formula unit; E_form = 1.861 eV per atom
1.0
4.4579 0.0000 0.0000
0.0000 4.4579 0.0000
0.0000 0.0000 4.4579
Ir Fe La
1 3 1
Cartesian
2.2290 2.2290 2.2290 Ir
2.2290 0.0000 0.0000 Fe
0.0000 2.2290 0.0000 Fe
0.0000 0.0000 2.2290 Fe
0.0000 0.0000 0.0000 La

V8Ge2C3 (GGA-PBE, optimized geometry); calculated total energy = -8.6105 eV per atom; magnetic moment = 0.00 μB per formula unit; E_form = -0.160 eV per atom
1.0
-2.2509 -2.4161 -3.8231
-0.9822 -4.5612 3.4607
-4.1016 5.3345 0.9912
V Ge C
8 2 3
Cartesian
-5.3967 -0.0622 0.7644 V
-2.4170 -3.8052 1.5524 V
-2.8572 -1.5813 -2.8949 V
-3.4488 -3.9055 -1.2506 V
-4.9176 2.1625 -0.9235 V
-1.9380 -1.5805 -0.1356 V
-3.8858 2.2627 1.8794 V
-4.4775 -0.0614 3.5238 V
-3.0493 0.7173 0.0800 Ge
-4.2854 -2.3600 0.5489 Ge
-0.7412 -3.4420 2.6116 C
-0.2410 -1.1191 0.8491 C
-1.1254 -1.2080 -1.9116 C